Here is a relaxed Cs3LiI6 crystal from Alexandria via LeMat-Bulk. Energies are from PBE.

The structure belongs to space group Fm-3m (No. 225); the cell edges are 13.0074, 13.0074 and 13.0074 Å and the angles 90.00°, 90.00° and 90.00°. The distinct sites, in fractional coordinates, are Cs at (0.0000, 0.0000, 0.0000), Cs at (0.2500, 0.2500, 0.2500), Li at (0.0000, 0.0000, 0.5000) and I at (0.0000, 0.0000, 0.2793).

Its crystal system is cubic. The calculation puts the uncorrected formation energy at -0.948 eV/atom. Its energy is -2.3252 eV per atom. For the magnetization, the calculation gives 8.000 μB/cell.